(1)
VASP calculation (PBE+U) on crystalline P2W2O11 at its relaxed geometry.

The structure in POSCAR format:
```
P2W2O11
1.0
16.1341 0.0000 0.0000
0.0000 6.3660 0.0000
0.0000 0.0000 8.1698
P W O
8 8 44
Cartesian
1.3656 1.5915 0.7355 P
3.9342 4.7745 8.1486 P
4.1328 1.5915 4.0637 P
6.7015 4.7745 4.8204 P
9.4327 1.5915 3.3494 P
12.0013 4.7745 4.1061 P
12.1999 1.5915 0.0212 P
14.7685 4.7745 7.4343 P
1.0123 4.7745 1.8733 W
3.2261 4.7745 4.8208 W
4.8410 1.5915 0.7359 W
7.0548 1.5915 5.9582 W
9.0794 4.7745 2.2116 W
11.2932 4.7745 7.4339 W
12.9081 1.5915 3.3490 W
15.1219 1.5915 6.2965 W
0.1438 1.5915 5.0100 O
0.3096 1.5915 7.7909 O
1.1184 0.3659 1.6574 O
1.1184 2.8171 1.6574 O
1.6976 4.7745 5.6258 O
2.4540 4.7745 0.2828 O
2.5790 4.7745 3.0132 O
2.7646 1.5915 0.1313 O
3.4105 0.3685 4.7024 O
3.4105 2.8145 4.7024 O
3.8671 1.5915 2.5426 O
4.2000 4.7745 6.6275 O
4.6565 3.5515 0.6175 O
4.6565 5.9975 0.6175 O
5.3024 4.7745 4.2162 O
5.4880 1.5915 7.0981 O
5.6131 1.5915 4.3677 O
6.3695 1.5915 1.5409 O
6.9487 3.5489 5.7423 O
6.9487 6.0001 5.7423 O
7.7575 4.7745 3.7060 O
7.9233 4.7745 0.9251 O
8.2109 1.5915 7.2448 O
8.3766 1.5915 4.4638 O
9.1855 0.3659 2.4275 O
9.1855 2.8171 2.4275 O
9.7647 4.7745 6.6289 O
10.5210 4.7745 3.8021 O
10.6461 4.7745 1.0717 O
10.8317 1.5915 3.9536 O
11.4776 0.3685 7.5524 O
11.4776 2.8145 7.5524 O
11.9342 1.5915 1.5424 O
12.2670 4.7745 5.6273 O
12.7236 3.5515 3.4674 O
12.7236 5.9975 3.4674 O
13.3695 4.7745 8.0386 O
13.5551 1.5915 5.1566 O
13.6802 1.5915 7.8870 O
14.4366 1.5915 2.5440 O
15.0157 3.5489 6.5124 O
15.0157 6.0001 6.5124 O
15.8246 4.7745 0.3789 O
15.9904 4.7745 3.1599 O
```

Results
Its total energy is -442.1 eV per cell. The calculated volume comes out at 839.12 Å³ per cell. The space group is Pnma (62). The calculation puts the total magnetic moment at 0.000 μB/atom.

(2)
VASP calculation (PBE+U) on crystalline P3W2O13 at its relaxed geometry.

The structure in POSCAR format:
```
P3W2O13
1.0
6.4467 0.0000 0.0000
1.5518 6.9659 0.0000
0.6181 1.7819 12.3133
P W O
6 4 26
Cartesian
1.6656 3.3530 4.2918 P
3.7556 8.4236 10.8104 P
3.1450 5.7635 3.8718 P
5.4716 2.9843 8.4415 P
4.8611 0.3242 1.5029 P
6.9510 5.3948 8.0215 P
1.6416 1.4095 1.5532 W
2.2038 2.4807 7.6188 W
6.4129 6.2671 4.6946 W
6.9751 7.3382 10.7601 W
2.0356 6.2914 4.7821 O
1.7976 4.6147 7.9658 O
2.5092 7.4952 10.7937 O
1.5539 2.0757 3.3994 O
1.7176 2.9878 0.8592 O
2.1532 2.5100 9.7202 O
2.2504 2.9435 5.6250 O
2.2695 2.1450 12.1936 O
3.2316 6.4831 2.5245 O
2.7774 4.2273 3.5147 O
3.9347 7.7231 7.5358 O
4.4552 5.7068 4.6338 O
4.9906 7.4919 10.7050 O
3.6261 1.2559 1.6083 O
4.1614 3.0409 7.6795 O
4.6819 1.0247 4.7775 O
5.8393 4.5204 8.7986 O
5.3851 2.2647 9.7888 O
6.3472 6.6027 0.1198 O
6.3662 5.8043 6.6883 O
6.4634 6.2378 2.5931 O
6.8991 5.7600 11.4541 O
7.0627 6.6720 8.9139 O
6.1074 1.2525 1.5196 O
6.8190 4.1331 4.3475 O
6.5811 2.4564 7.5312 O
```

Results
Its total energy is -265.0 eV per cell. The calculated volume comes out at 552.96 Å³ per cell. The space group is P-1 (2). The calculation puts the total magnetic moment at 0.056 μB/atom.

(3)
VASP calculation (PBE+U) on crystalline P5WO15 at its relaxed geometry.

The structure in POSCAR format:
```
P5WO15
1.0
5.3351 0.0000 0.0000
0.0000 14.0194 0.0000
-1.9659 0.0000 8.4483
P W O
10 2 30
Cartesian
0.0278 2.0092 0.1344 P
0.0278 5.0006 0.1344 P
1.1768 1.1612 2.7900 P
1.1768 5.8485 2.7900 P
1.3059 3.5049 4.5022 P
2.0633 10.5146 3.9461 P
2.1924 8.1709 5.6584 P
2.1924 12.8582 5.6584 P
3.3414 9.0189 8.3139 P
3.3414 12.0103 8.3139 P
2.6676 0.0000 0.0000 W
2.6676 7.0097 0.0000 W
-1.7148 3.5049 8.1080 O
0.2665 2.0240 1.6702 O
0.2665 4.9857 1.6702 O
-0.1522 3.5049 4.2724 O
-0.8898 1.1563 7.8737 O
-0.8898 5.8534 7.8737 O
0.3465 0.1765 3.4686 O
0.3465 6.8332 3.4686 O
1.4048 8.6249 0.1816 O
1.4048 12.4043 0.1816 O
1.3239 10.5146 2.6771 O
1.3901 9.2791 4.9404 O
1.3901 11.7500 4.9404 O
1.1003 7.5460 6.6646 O
1.1003 13.4832 6.6646 O
2.2690 0.5362 1.7837 O
2.2690 6.4735 1.7837 O
1.9791 2.2694 3.5079 O
1.9791 4.7403 3.5079 O
2.0454 3.5049 5.7713 O
1.9644 1.6151 8.2667 O
1.9644 5.3946 8.2667 O
3.0228 7.1862 4.9797 O
3.0228 13.8430 4.9797 O
4.2591 8.1661 0.5746 O
4.2591 12.8631 0.5746 O
3.5214 10.5146 4.1759 O
3.1028 9.0338 6.7781 O
3.1028 11.9954 6.7781 O
5.0840 10.5146 0.3403 O
```

Results
Its total energy is -299.1 eV per cell. The calculated volume comes out at 631.90 Å³ per cell. The space group is P2_1/m (11). The calculation puts the total magnetic moment at 0.049 μB/atom.

(4)
VASP calculation (PBE+U) on crystalline P3W2O13 at its relaxed geometry.

The structure in POSCAR format:
```
P3W2O13
1.0
9.9039 0.0000 0.0000
0.0000 19.4099 0.0000
-1.9154 0.0000 6.1509
P W O
12 8 52
Cartesian
0.0693 3.3914 0.9521 P
-0.8883 6.3136 4.0275 P
1.4759 1.7475 4.7292 P
2.4336 7.9574 1.6537 P
2.9813 10.3465 0.0800 P
2.0236 18.7684 3.1554 P
5.9649 0.6416 2.9955 P
5.0072 9.0634 6.0710 P
5.5549 11.4525 4.4972 P
6.5126 17.6624 1.4218 P
8.8768 13.0963 2.1234 P
7.9191 16.0186 5.1989 P
-1.0623 12.8614 5.4801 W
-0.1046 16.2534 2.4047 W
3.2115 2.4122 1.9503 W
2.2538 7.2928 5.0258 W
5.7347 12.1171 1.1252 W
4.7770 16.9978 4.2006 W
8.0931 3.1565 3.7463 W
9.0508 6.5485 0.6708 W
0.0467 12.5915 1.1690 O
-0.9110 16.5234 4.2445 O
-0.6366 12.6140 3.5133 O
0.3211 16.5009 0.4378 O
-0.5966 4.8106 4.1293 O
0.3611 4.8944 1.0538 O
0.0720 2.1114 4.3697 O
1.0297 7.5936 1.2942 O
-0.2205 10.9710 5.7445 O
0.7372 18.1439 2.6690 O
1.4053 2.6400 1.3380 O
0.4476 7.0650 4.4134 O
0.3156 13.8049 5.9236 O
1.2733 15.3100 2.8482 O
1.7032 0.1665 4.5235 O
2.6609 9.5385 1.4480 O
2.6514 0.3203 2.1647 O
1.6937 9.3847 5.2401 O
2.5565 2.4498 3.8557 O
3.5142 7.2551 0.7802 O
3.7426 1.9680 0.0675 O
2.7849 7.7369 3.1430 O
3.9703 11.4438 0.5424 O
3.0126 17.6711 3.6178 O
3.6680 4.0717 1.9560 O
2.7103 5.6333 5.0314 O
5.2782 13.7766 1.1195 O
4.3205 15.3383 4.1950 O
4.9759 1.7389 2.5331 O
4.0182 7.9661 5.6086 O
5.2036 11.6730 3.0080 O
4.2459 17.4419 6.0834 O
4.4743 12.1548 5.3707 O
5.4320 16.9601 2.2953 O
6.2948 10.0252 0.9108 O
5.3371 19.0896 3.9863 O
5.3276 9.8715 4.7029 O
6.2853 19.2434 1.6274 O
6.7152 4.0999 3.3028 O
7.6729 5.6051 0.2273 O
7.5409 12.3449 1.7375 O
6.5832 16.7700 4.8130 O
7.2513 1.2660 3.4819 O
8.2090 8.4390 0.4065 O
6.9588 11.8163 4.8567 O
7.9165 17.2986 1.7812 O
7.6274 14.5155 5.0971 O
8.5851 14.5994 2.0216 O
7.6674 2.9090 5.7131 O
8.6250 6.7959 2.6376 O
8.8994 2.8866 1.9065 O
7.9417 6.8184 4.9820 O
```

Results
Its total energy is -529.7 eV per cell. The calculated volume comes out at 1182.41 Å³ per cell. The space group is P2_1/c (14). The calculation puts the total magnetic moment at 0.056 μB/atom.

(5)
VASP calculation (PBE+U) on crystalline P2W9O31 at its relaxed geometry.

The structure in POSCAR format:
```
P2W9O31
1.0
5.4295 0.0000 0.0000
0.0000 6.7086 0.0000
-5.3909 0.0000 33.5672
P W O
4 18 62
Cartesian
-0.0122 0.9136 7.2709 P
-2.7077 2.4407 24.0545 P
2.7463 4.2679 9.5127 P
0.0508 5.7950 26.2963 P
-2.6964 4.4776 18.3391 W
-0.0009 5.5853 1.5555 W
-2.6984 0.0337 21.4818 W
-0.0030 3.3206 4.6982 W
-2.6768 1.1330 27.3235 W
0.0186 2.2213 10.5399 W
0.0172 4.4617 13.6779 W
-2.6782 5.6012 30.4615 W
0.0193 0.0000 16.7836 W
2.7148 3.3543 0.0000 W
2.7168 1.1074 3.1057 W
0.0213 2.2469 19.8893 W
0.0199 4.4873 23.0273 W
2.7154 5.5756 6.2437 W
0.0415 3.3880 28.8691 W
2.7370 6.6749 12.0854 W
0.0395 1.1233 32.0118 W
2.7349 2.2310 15.2281 W
0.0000 0.0000 0.0000 O
-2.6955 3.3543 16.7836 O
-1.3837 3.4705 9.7245 O
-4.0792 6.5924 26.5081 O
-1.3637 1.1151 11.1322 O
-4.0591 2.2392 27.9159 O
-0.0001 4.4601 3.2298 O
-2.6956 5.6028 20.0134 O
-3.9878 4.4567 29.5425 O
-1.2923 5.6061 12.7589 O
-1.3893 3.3860 14.3676 O
-4.0848 6.6769 31.1512 O
-2.6947 1.1791 23.1787 O
0.0008 2.1751 6.3951 O
-1.2890 1.1491 15.9465 O
-3.9845 2.2052 32.7302 O
0.0282 1.3419 8.7523 O
-2.6673 2.0124 25.5359 O
1.3062 4.4219 0.7805 O
-1.3893 5.6410 17.5641 O
-1.2925 3.4005 19.1443 O
1.4030 6.6624 2.3607 O
-2.6772 0.0549 28.8226 O
0.0183 3.2994 12.0390 O
-1.3777 1.1708 20.7594 O
1.3178 2.1835 3.9757 O
1.4000 4.4102 5.6091 O
-1.2955 5.6527 22.3927 O
1.2353 0.0522 7.0105 O
-1.4602 3.3021 23.7941 O
-2.6766 4.4837 31.9728 O
0.0189 5.5792 15.1892 O
0.0197 1.1294 18.3780 O
2.7151 2.2249 1.5944 O
1.4987 3.4065 9.7731 O
-1.1968 6.6563 26.5567 O
1.3340 1.0559 11.1746 O
-1.3614 2.2984 27.9582 O
-1.2792 4.5251 29.5915 O
1.4162 5.5378 12.8079 O
0.0203 3.4092 21.5282 O
2.7158 6.6537 4.7446 O
-1.3644 0.0462 31.2065 O
1.3311 3.3081 14.4229 O
1.4278 1.0676 16.0031 O
-1.2676 2.2867 32.7868 O
2.7059 4.6962 8.0313 O
0.0104 5.3667 24.8149 O
4.0231 4.5034 0.8371 O
1.3276 5.5595 17.6207 O
0.0378 4.5334 27.1722 O
2.7333 5.5294 10.3886 O
4.1233 0.0317 2.4160 O
1.4279 3.3226 19.1996 O
1.3309 1.1024 20.8084 O
4.0264 2.2518 4.0247 O
2.7342 1.1058 13.5538 O
0.0387 2.2485 30.3374 O
4.0977 4.4694 5.6514 O
1.4022 5.5935 22.4350 O
4.1177 0.1162 7.0591 O
1.4223 3.2381 23.8427 O
```

Results
Its total energy is -630.3 eV per cell. The calculated volume comes out at 1222.66 Å³ per cell. The space group is P2_1/c (14). The calculation puts the total magnetic moment at 0.039 μB/atom.

(6)
VASP calculation (PBE+U) on crystalline PWO2 at its relaxed geometry.

The structure in POSCAR format:
```
PWO2
1.0
-3.0032 3.0032 4.4499
3.0032 -3.0032 4.4499
3.0032 3.0032 -4.4499
P W O
2 2 4
Cartesian
3.0032 1.5016 1.1125 P
0.0000 1.5016 3.3374 P
3.0032 -1.5016 3.3374 W
0.0000 4.5047 1.1125 W
0.0000 0.0000 0.0000 O
1.5016 1.5016 -2.2249 O
1.5016 -1.5016 2.2249 O
0.0000 3.0032 0.0000 O
```

Results
Its total energy is -46.0 eV per cell. The calculated volume comes out at 160.53 Å³ per cell. The space group is I4_1/amd (141). The calculation puts the total magnetic moment at 0.000 μB/atom.

(7)
VASP calculation (PBE+U) on crystalline P3WO at its relaxed geometry.

The structure in POSCAR format:
```
P3WO
1.0
4.6642 0.0000 0.0000
0.0000 4.6642 0.0000
0.0000 0.0000 4.6642
P W O
3 1 1
Cartesian
0.0000 0.0000 2.3321 P
0.0000 2.3321 0.0000 P
2.3321 0.0000 0.0000 P
0.0000 0.0000 0.0000 W
2.3321 2.3321 2.3321 O
```

Results
Its total energy is -22.7 eV per cell. The calculated volume comes out at 101.47 Å³ per cell. The space group is Pm-3m (221). The calculation puts the total magnetic moment at 0.008 μB/atom.

(8)
VASP calculation (PBE+U) on crystalline PWO2 at its relaxed geometry.

The structure in POSCAR format:
```
PWO2
1.0
1.3936 0.8046 6.7243
-1.3936 0.8046 6.7243
0.0000 -1.6092 6.7243
P W O
1 1 2
Cartesian
0.0000 0.0000 0.0000 P
0.0000 0.0000 10.0865 W
0.0000 0.0000 1.9061 O
0.0000 0.0000 18.2669 O
```

Results
Its total energy is -25.3 eV per cell. The calculated volume comes out at 45.24 Å³ per cell. The space group is R-3m (166). The calculation puts the total magnetic moment at 0.000 μB/atom.